Record 1
{"formula": "MnCrTe2I", "functional": "PBE-GGA", "state": "optimized geometry", "cell": [[5.312, 0.000, 0.000], [0.000, 5.312, 0.000], [0.000, 0.000, 5.437]], "species": ["Te", "Cr", "Te", "I", "Mn"], "frac_coords": [[0.000, 0.500, 0.000], [0.000, 0.000, 0.000], [0.500, 0.000, 0.000], [0.000, 0.000, 0.500], [0.500, 0.500, 0.500]], "raw_formation_energy_mev_per_atom": 516, "de_polymorph_kj_per_mol_atoms": 0.0, "dft_energy_ev_per_atom": -4.810, "spacegroup": "No. 123"}

***

Record 2
{"formula": "SrPdI2N", "functional": "PBE-GGA", "state": "optimized geometry", "cell": [[6.375, 0.000, 0.000], [0.000, 6.375, 0.000], [0.000, 0.000, 4.964]], "species": ["N", "Pd", "Sr", "I", "I"], "frac_coords": [[0.000, 0.000, 0.500], [0.500, 0.500, 0.500], [0.000, 0.000, 0.000], [0.000, 0.500, 0.000], [0.500, 0.000, 0.000]], "raw_formation_energy_mev_per_atom": 541, "de_polymorph_kj_per_mol_atoms": 65.5, "dft_energy_ev_per_atom": -3.119, "spacegroup": "No. 123"}

***

Record 3
{"formula": "CaGeS3", "functional": "PBE-GGA", "state": "optimized geometry", "cell": [[-5.311, 2.933, -0.879], [-3.421, -4.612, 5.284], [4.267, 9.123, 4.654]], "species": ["Ca", "Ca", "S", "S", "S", "Ge", "Ca", "S", "S", "Ca", "S", "S", "S", "S", "S", "Ge", "Ge", "S", "Ge", "S"], "frac_coords": [[0.773, 0.288, 0.875], [0.727, 0.288, 0.375], [0.435, 0.051, 0.160], [0.404, 0.810, 0.393], [0.935, 0.949, 0.340], [0.745, 0.906, 0.003], [0.227, 0.712, 0.125], [0.065, 0.051, 0.660], [0.281, 0.347, 0.950], [0.273, 0.712, 0.625], [0.781, 0.653, 0.550], [0.904, 0.190, 0.107], [0.596, 0.190, 0.607], [0.096, 0.810, 0.893], [0.219, 0.347, 0.450], [0.755, 0.906, 0.503], [0.245, 0.094, 0.497], [0.719, 0.653, 0.050], [0.255, 0.094, 0.997], [0.565, 0.949, 0.840]], "raw_formation_energy_mev_per_atom": -931, "dft_energy_ev_per_atom": -4.731, "spacegroup": "No. 14"}

***

Record 4
{"formula": "PaBe2Pd", "functional": "PBE-GGA", "state": "optimized geometry", "cell": [[-1.218, -1.833, 1.965], [-1.102, -1.627, -2.201], [5.504, -3.689, -0.029]], "species": ["Pa", "Be", "Pd", "Be"], "frac_coords": [[0.500, 0.500, 0.500], [0.000, 0.000, 0.184], [0.500, 0.500, 0.000], [0.000, 0.000, 0.816]], "de_polymorph_kj_per_mol_atoms": 0.0, "dft_energy_ev_per_atom": -5.744, "formation_enthalpy_0k_ev_per_atom": -0.209, "spacegroup": "No. 123"}

***

Record 5
{"formula": "Sm3ScP4", "functional": "PBE-GGA", "state": "optimized geometry", "cell": [[-2.551, -0.552, 3.075], [3.845, -5.370, 2.225], [2.291, 5.881, 2.957]], "species": ["Sm", "P", "P", "P", "Sm", "P", "Sc", "Sm"], "frac_coords": [[0.000, 0.000, 0.500], [0.500, 0.243, 0.757], [0.000, 0.763, 0.763], [0.000, 0.237, 0.237], [0.500, 0.500, 0.500], [0.500, 0.757, 0.243], [0.500, 0.000, 0.000], [0.000, 0.500, 0.000]], "dft_energy_ev_per_atom": -6.780, "formation_enthalpy_0k_ev_per_atom": -1.514, "spacegroup": "No. 65"}

***

Record 6
{"formula": "YPbAuS2", "functional": "PBE-GGA", "state": "optimized geometry", "cell": [[-2.779, -3.957, -0.803], [2.634, -0.883, -4.762], [3.290, -2.784, 2.336]], "species": ["S", "S", "Y", "Au", "Pb"], "frac_coords": [[0.000, 0.000, 0.500], [0.500, 0.000, 0.000], [0.000, 0.500, 0.000], [0.000, 0.000, 0.000], [0.500, 0.500, 0.500]], "raw_formation_energy_mev_per_atom": 84, "dft_energy_ev_per_atom": -4.257, "spacegroup": "No. 123"}

***

Record 7
{"formula": "GaTc3I", "functional": "PBE-GGA", "state": "optimized geometry", "cell": [[4.838, 0.000, 0.000], [0.000, 4.838, 0.000], [0.000, 0.000, 4.838]], "species": ["Tc", "I", "Ga", "Tc", "Tc"], "frac_coords": [[0.000, 0.500, 0.000], [0.000, 0.000, 0.000], [0.500, 0.500, 0.500], [0.500, 0.000, 0.000], [0.000, 0.000, 0.500]], "raw_formation_energy_mev_per_atom": 1990, "de_polymorph_kj_per_mol_atoms": 31.3, "dft_energy_ev_per_atom": -5.145, "spacegroup": "No. 221"}

***

Record 8
{"formula": "CsBeAs", "functional": "PBE-GGA", "state": "optimized geometry", "cell": [[5.970, 0.000, 0.000], [0.000, 3.947, 0.000], [0.000, -1.973, 3.418]], "species": ["Be", "Cs", "As"], "frac_coords": [[0.167, 0.333, 0.667], [0.667, 0.667, 0.333], [0.167, 0.000, 0.000]], "dft_energy_ev_per_atom": -3.385, "formation_enthalpy_0k_ev_per_atom": -0.309, "spacegroup": "No. 187"}